Record 1
ReGeBr3 after structural relaxation. Source: the Alexandria database, functional GGA-PBE.

Values from the calculation:
N(E_F): 0.01 states/eV per atom
DFT total energy: -3.540 eV per atom
Offset from the most stable computed form: 0.649 eV/f.u.
Raw formation energy: 0.877 eV per atom
Volume: 162.8 Å³/f.u.

Lattice parameters (Å, degrees): 5.460 5.460 5.460 90.00 90.00 90.00
Space group Pm-3m (No. 221)
Asymmetric unit:
1 Re 0.000 0.000 0.000 [1 per cell]
2 Ge 0.500 0.500 0.500 [1 per cell]
3 Br 0.000 0.500 0.500 [3 per cell]


Record 2
ReGeRu2Br after structural relaxation. Source: the Alexandria database, functional GGA-PBE.

Values from the calculation:
N(E_F): 1.59 states/eV per atom
DFT total energy: -5.371 eV per atom
Raw formation energy: 2.087 eV per atom
Volume: 98.9 Å³/f.u.

Lattice parameters (Å, degrees): 4.503 4.503 4.877 90.00 90.00 90.00
Space group P4/mmm (No. 123)
Asymmetric unit:
1 Re 0.000 0.000 0.000 [1 per cell]
2 Ge 0.500 0.500 0.500 [1 per cell]
3 Ru 0.000 0.500 0.500 [2 per cell]
4 Br 0.500 0.500 0.000 [1 per cell]


Record 3
ReGeSeBr2 after structural relaxation. Source: the Alexandria database, functional GGA-PBE.

Values from the calculation:
N(E_F): 0.33 states/eV per atom
DFT total energy: -3.699 eV per atom
Offset from the most stable computed form: 2.206 eV/f.u.
Raw formation energy: 1.080 eV per atom
Volume: 143.3 Å³/f.u.

Lattice parameters (Å, degrees): 5.228 5.228 5.242 90.00 90.00 90.00
Space group P4/mmm (No. 123)
Asymmetric unit:
1 Re 0.000 0.000 0.000 [1 per cell]
2 Ge 0.500 0.500 0.500 [1 per cell]
3 Se 0.500 0.500 0.000 [1 per cell]
4 Br 0.000 0.500 0.500 [2 per cell]